Below is a geometry-optimized CdFeMoAs structure, with properties calculated at the GGA-PBE level.

crystal system	cubic
calculated volume	62	Å³ per cell
uncorrected energy	-22.7	eV for the cell shown
ΔE to the lowest computed polymorph	0.0	meV per atom

abc: 4.4502 4.4502 4.4502
angles: 60.00 60.00 60.00
With the nearest neighbours (Å) after each atom.
Element x y z (fractional)
As 0.0000 0.0000 0.0000  4 Fe 2.73, 4 Mo 2.73
Cd 0.5000 0.5000 0.5000  4 Fe 2.73, 4 Mo 2.73
Fe 0.7500 0.7500 0.7500  4 Cd 2.73, 4 As 2.73
Mo 0.2500 0.2500 0.2500  4 Cd 2.73, 4 As 2.73